[1]
# GGA-PBE Y6SnPd5, optimized geometry
data_Y6SnPd5
_chemical_formula_sum 'Y6 Sn1 Pd5'
_cell_length_a 5.040
_cell_length_b 7.113
_cell_length_c 7.980
_cell_angle_alpha 90.00
_cell_angle_beta 108.14
_cell_angle_gamma 90.00
_space_group_name_H-M_alt 'P 1'
_space_group_IT_number 1
loop_
_space_group_symop_operation_xyz
'x,y,z'
loop_
_atom_site_label
_atom_site_type_symbol
_atom_site_fract_x
_atom_site_fract_y
_atom_site_fract_z
Y1 Y 0.000 0.237 0.000
Y2 Y 0.000 0.763 0.000
Y3 Y 0.328 0.246 0.657
Y4 Y 0.328 0.754 0.657
Y5 Y 0.672 0.246 0.343
Y6 Y 0.672 0.754 0.343
Sn1 Sn 0.500 0.500 0.000
Pd1 Pd 0.162 0.500 0.316
Pd2 Pd 0.169 0.000 0.333
Pd3 Pd 0.500 0.000 0.000
Pd4 Pd 0.831 0.000 0.667
Pd5 Pd 0.838 0.500 0.684
# E_tot = -78.68 eV/f.u.
# total magnetic moment = 0.00 Bohr magnetons per cell
# energy relative to the elements = -958 kJ/mol of formula units

[2]
# GGA-PBE Tm3Al5Au6, optimized geometry
data_Tm3Al5Au6
_chemical_formula_sum 'Tm6 Al10 Au12'
_cell_length_a 4.401
_cell_length_b 12.923
_cell_length_c 9.486
_cell_angle_alpha 90.00
_cell_angle_beta 90.00
_cell_angle_gamma 90.00
_space_group_name_H-M_alt 'P 1'
_space_group_IT_number 1
loop_
_space_group_symop_operation_xyz
'x,y,z'
loop_
_atom_site_label
_atom_site_type_symbol
_atom_site_fract_x
_atom_site_fract_y
_atom_site_fract_z
Tm1 Tm 0.250 0.047 0.250
Tm2 Tm 0.250 0.453 0.250
Tm3 Tm 0.250 0.750 0.238
Tm4 Tm 0.750 0.250 0.762
Tm5 Tm 0.750 0.547 0.750
Tm6 Tm 0.750 0.953 0.750
Al1 Al 0.250 0.086 0.895
Al2 Al 0.250 0.414 0.895
Al3 Al 0.250 0.612 0.522
Al4 Al 0.250 0.750 0.758
Al5 Al 0.250 0.888 0.522
Al6 Al 0.750 0.112 0.478
Al7 Al 0.750 0.250 0.242
Al8 Al 0.750 0.388 0.478
Al9 Al 0.750 0.586 0.105
Al10 Al 0.750 0.914 0.105
Au1 Au 0.250 0.090 0.627
Au2 Au 0.250 0.250 0.065
Au3 Au 0.250 0.250 0.409
Au4 Au 0.250 0.410 0.627
Au5 Au 0.250 0.609 0.969
Au6 Au 0.250 0.891 0.969
Au7 Au 0.750 0.109 0.031
Au8 Au 0.750 0.391 0.031
Au9 Au 0.750 0.590 0.373
Au10 Au 0.750 0.750 0.591
Au11 Au 0.750 0.750 0.935
Au12 Au 0.750 0.910 0.373
# E_tot = -61.25 eV/f.u.
# total magnetic moment = 0.00 Bohr magnetons per cell
# energy relative to the elements = -913 kJ/mol of formula units

[3]
# GGA-PBE Sm3Te3O, optimized geometry
data_Sm3Te3O
_chemical_formula_sum 'Sm6 Te6 O2'
_cell_length_a 9.347
_cell_length_b 9.347
_cell_length_c 6.245
_cell_angle_alpha 90.00
_cell_angle_beta 90.00
_cell_angle_gamma 119.88
_space_group_name_H-M_alt 'P 1'
_space_group_IT_number 1
loop_
_space_group_symop_operation_xyz
'x,y,z'
loop_
_atom_site_label
_atom_site_type_symbol
_atom_site_fract_x
_atom_site_fract_y
_atom_site_fract_z
Sm1 Sm 0.195 0.805 0.750
Sm2 Sm 0.196 0.390 0.750
Sm3 Sm 0.390 0.196 0.250
Sm4 Sm 0.610 0.804 0.750
Sm5 Sm 0.804 0.610 0.250
Sm6 Sm 0.805 0.195 0.250
Te1 Te 0.186 0.814 0.250
Te2 Te 0.187 0.374 0.250
Te3 Te 0.374 0.187 0.750
Te4 Te 0.626 0.813 0.250
Te5 Te 0.813 0.626 0.750
Te6 Te 0.814 0.186 0.750
O1 O 0.333 0.667 0.750
O2 O 0.667 0.333 0.250
# E_tot = -40.70 eV/f.u.
# total magnetic moment = 0.00 Bohr magnetons per cell

[4]
# GGA-PBE NaSmCo, optimized geometry
data_NaSmCo
_chemical_formula_sum 'Na2 Sm2 Co2'
_cell_length_a 8.963
_cell_length_b 8.963
_cell_length_c 8.963
_cell_angle_alpha 29.34
_cell_angle_beta 29.34
_cell_angle_gamma 29.34
_space_group_name_H-M_alt 'P 1'
_space_group_IT_number 1
loop_
_space_group_symop_operation_xyz
'x,y,z'
loop_
_atom_site_label
_atom_site_type_symbol
_atom_site_fract_x
_atom_site_fract_y
_atom_site_fract_z
Na1 Na 0.134 0.134 0.134
Na2 Na 0.866 0.866 0.866
Sm1 Sm 0.376 0.376 0.376
Sm2 Sm 0.624 0.624 0.624
Co1 Co 0.264 0.264 0.264
Co2 Co 0.736 0.736 0.736
# E_tot = -11.92 eV/f.u.
# total magnetic moment = 0.00 Bohr magnetons per cell
# energy relative to the elements = 118 kJ/mol of formula units

[5]
# GGA-PBE Pr2Ge2Au, optimized geometry
data_Pr2Ge2Au
_chemical_formula_sum 'Pr4 Ge4 Au2'
_cell_length_a 6.043
_cell_length_b 6.043
_cell_length_c 11.261
_cell_angle_alpha 117.02
_cell_angle_beta 117.02
_cell_angle_gamma 43.40
_space_group_name_H-M_alt 'P 1'
_space_group_IT_number 1
loop_
_space_group_symop_operation_xyz
'x,y,z'
loop_
_atom_site_label
_atom_site_type_symbol
_atom_site_fract_x
_atom_site_fract_y
_atom_site_fract_z
Pr1 Pr 0.096 0.096 0.403
Pr2 Pr 0.294 0.294 0.846
Pr3 Pr 0.706 0.706 0.154
Pr4 Pr 0.904 0.904 0.597
Ge1 Ge 0.031 0.031 0.908
Ge2 Ge 0.372 0.372 0.392
Ge3 Ge 0.628 0.628 0.608
Ge4 Ge 0.969 0.969 0.092
Au1 Au 0.422 0.422 0.180
Au2 Au 0.578 0.578 0.820
# E_tot = -26.02 eV/f.u.
# total magnetic moment = 0.00 Bohr magnetons per cell
# energy relative to the elements = -381 kJ/mol of formula units

[6]
# GGA-PBE NaCa2Ni, optimized geometry
data_NaCa2Ni
_chemical_formula_sum 'Na2 Ca4 Ni2'
_cell_length_a 6.965
_cell_length_b 6.965
_cell_length_c 6.965
_cell_angle_alpha 103.48
_cell_angle_beta 103.48
_cell_angle_gamma 122.25
_space_group_name_H-M_alt 'P 1'
_space_group_IT_number 1
loop_
_space_group_symop_operation_xyz
'x,y,z'
loop_
_atom_site_label
_atom_site_type_symbol
_atom_site_fract_x
_atom_site_fract_y
_atom_site_fract_z
Na1 Na 0.000 0.000 0.000
Na2 Na 0.750 0.250 0.500
Ca1 Ca 0.212 0.625 0.087
Ca2 Ca 0.375 0.462 0.587
Ca3 Ca 0.538 0.125 0.913
Ca4 Ca 0.875 0.788 0.413
Ni1 Ni 0.250 0.750 0.500
Ni2 Ni 0.500 0.500 0.000
# E_tot = -10.21 eV/f.u.
# total magnetic moment = 0.00 Bohr magnetons per cell
# energy relative to the elements = 86 kJ/mol of formula units

Number 1: Fermi-level density of states 9.45 states/eV/cell. Number 2: Fermi-level density of states 16.21 states/eV/cell. Number 3: Fermi-level density of states 5.57 states/eV/cell. Number 4: Fermi-level density of states 4.84 states/eV/cell. Number 5: Fermi-level density of states 7.51 states/eV/cell. Number 6: Fermi-level density of states 4.75 states/eV/cell.